No. 1
DFT (PBE) results for a relaxed AlSiRuCl2 crystal.

```
AlSiRuCl2
1.0
-1.7674 -1.8354 3.9406
-0.4275 -4.5450 -2.3086
4.3294 -1.1269 1.4169
Ru Cl Al Si
1 2 1 1
direct
0.5000 0.5000 0.5000 Ru
0.5000 0.0000 0.0000 Cl
0.0000 0.0000 0.5000 Cl
0.0000 0.5000 0.0000 Al
0.0000 0.0000 0.0000 Si
```

Results
Total DFT energy (no corrections) (eV for the cell shown): -18.10
Excess energy over the best structure of this formula in the dataset (eV/atom): 0.533
E_form (uncorrected) (meV/atom): 808



No. 2
DFT (PBE) results for a relaxed Al2SiRuCl crystal.

```
Al2SiRuCl
1.0
4.5615 0.0000 0.0000
0.0000 4.4251 0.0000
0.0000 0.0000 4.5615
Si Al Ru Cl
1 2 1 1
direct
0.0000 0.5000 0.0000 Si
0.0000 0.0000 0.5000 Al
0.5000 0.0000 0.0000 Al
0.5000 0.5000 0.5000 Ru
0.0000 0.0000 0.0000 Cl
```

Results
Total DFT energy (no corrections) (eV for the cell shown): -18.27
E_form (uncorrected) (meV/atom): 1153



No. 3
DFT (PBE) results for a relaxed AlSiRuCl2 crystal.

```
AlSiRuCl2
1.0
4.9633 0.0000 0.0000
0.0000 4.9633 0.0000
0.0000 0.0000 4.5853
Cl Si Ru Al
2 1 1 1
direct
0.0000 0.5000 0.0000 Cl
0.5000 0.0000 0.0000 Cl
0.0000 0.0000 0.5000 Si
0.0000 0.0000 0.0000 Ru
0.5000 0.5000 0.5000 Al
```

Results
Total DFT energy (no corrections) (eV for the cell shown): -20.76
Excess energy over the best structure of this formula in the dataset (eV/atom): 0.000
E_form (uncorrected) (meV/atom): 274



No. 4
DFT (PBE) results for a relaxed TiAl2RuCl crystal.

```
TiAl2RuCl
1.0
-1.1207 -4.4564 -2.1863
1.4787 -2.1250 3.5734
-4.6617 0.1749 2.0331
Ru Cl Ti Al
1 1 1 2
direct
0.5000 0.5000 0.5000 Ru
0.0000 0.5000 0.0000 Cl
0.0000 0.0000 0.0000 Ti
0.5000 0.0000 0.0000 Al
0.0000 0.0000 0.5000 Al
```

Results
Total DFT energy (no corrections) (eV for the cell shown): -21.48
E_form (uncorrected) (meV/atom): 1005



No. 5
DFT (PBE) results for a relaxed Al2S8Cl crystal.

```
Al2S8Cl
1.0
-3.8966 -3.8802 -9.9767
7.5735 -0.8997 -1.2035
-0.6727 -0.6916 8.0472
S Cl Al
8 1 2
direct
0.9184 0.6455 0.3229 S
0.8992 0.4494 0.5888 S
0.5488 0.4723 0.7842 S
0.4833 0.0518 0.2855 S
0.0816 0.3545 0.6771 S
0.4512 0.5277 0.2158 S
0.5167 0.9482 0.7145 S
0.1008 0.5506 0.4112 S
0.0000 0.0000 0.0000 Cl
0.4202 0.1270 0.4821 Al
0.5798 0.8730 0.5179 Al
```

Results
Total DFT energy (no corrections) (eV for the cell shown): -46.52
E_form (uncorrected) (meV/atom): -379



No. 6
DFT (PBE) results for a relaxed AlS5Cl crystal.

```
AlS5Cl
1.0
3.6362 -0.5235 -1.5341
-1.0477 3.8553 -1.7537
2.6192 4.3764 10.2724
S Al Cl
5 1 1
direct
0.2706 0.1363 0.8033 S
0.4561 0.4034 0.6693 S
0.3254 0.4410 0.1539 S
0.0295 0.7105 0.0557 S
0.9948 0.0567 0.1867 S
0.7067 0.9617 0.6860 Al
0.7475 0.8210 0.5064 Cl
```

Results
Total DFT energy (no corrections) (eV for the cell shown): -28.91
E_form (uncorrected) (meV/atom): -383



No. 7
DFT (PBE) results for a relaxed AlSCl2 crystal.

```
AlSCl2
1.0
-2.4152 1.9351 3.6486
-2.1048 4.2650 -0.5186
-4.7710 0.3066 -0.1839
S Cl Al
1 2 1
direct
0.5000 0.5000 0.5000 S
0.7500 0.7500 0.7500 Cl
0.2500 0.2500 0.2500 Cl
0.0000 0.0000 0.0000 Al
```

Results
Total DFT energy (no corrections) (eV for the cell shown): -10.03
Excess energy over the best structure of this formula in the dataset (eV/atom): 0.933
E_form (uncorrected) (meV/atom): 383



No. 8
DFT (PBE) results for a relaxed AlS2Cl crystal.

```
AlS2Cl
1.0
-3.9240 -4.8337 -1.6118
3.5865 -4.0652 3.4600
-2.8234 -3.5604 4.7204
Al S Cl
2 4 2
direct
0.2500 0.7500 0.5000 Al
0.5000 0.5000 0.0000 Al
0.3750 0.4558 0.7500 S
0.5442 0.1250 0.2500 S
0.2058 0.6250 0.2500 S
0.8750 0.7942 0.7500 S
0.7500 0.2500 0.5000 Cl
0.0000 0.0000 0.0000 Cl
```

Results
Total DFT energy (no corrections) (eV for the cell shown): -29.06
Excess energy over the best structure of this formula in the dataset (eV/atom): 0.416
E_form (uncorrected) (meV/atom): -172



No. 9
DFT (PBE) results for a relaxed AlS2Cl2 crystal.

```
AlS2Cl2
1.0
2.1894 4.5830 5.6036
3.4773 -2.8734 6.6941
6.2004 2.8187 0.3758
S Al Cl
4 2 4
direct
0.0970 0.2563 0.0000 S
0.2636 0.3867 0.0000 S
0.7364 0.6133 0.0000 S
0.9030 0.7437 0.0000 S
0.8352 0.5000 0.3296 Al
0.1648 0.5000 0.6704 Al
0.5112 0.2844 0.4350 Cl
0.4888 0.7156 0.5650 Cl
0.0538 0.7156 0.4350 Cl
0.9462 0.2844 0.5650 Cl
```

Results
Total DFT energy (no corrections) (eV for the cell shown): -38.47
E_form (uncorrected) (meV/atom): -709



No. 10
DFT (PBE) results for a relaxed AlS8Cl2 crystal.

```
AlS8Cl2
1.0
7.0642 -2.5412 -1.0775
-1.0937 7.5111 3.5783
-2.2037 2.7066 7.6311
S Cl Al
8 2 1
direct
0.1351 0.6310 0.6310 S
0.8649 0.3690 0.3690 S
0.9476 0.3609 0.8581 S
0.9476 0.8581 0.3609 S
0.0524 0.6391 0.1419 S
0.6088 0.4884 0.4884 S
0.3912 0.5116 0.5116 S
0.0524 0.1419 0.6391 S
0.6557 0.8958 0.8958 Cl
0.3443 0.1042 0.1042 Cl
0.0000 0.0000 0.0000 Al
```

Results
Total DFT energy (no corrections) (eV for the cell shown): -42.21
E_form (uncorrected) (meV/atom): -160



No. 11
DFT (PBE) results for a relaxed AlSCl7 crystal.

```
AlSCl7
1.0
6.5271 0.0000 0.0000
0.0000 7.0005 -0.0075
0.0000 3.2387 12.6581
Cl S Al
14 2 2
direct
0.6430 0.5247 0.2056 Cl
0.0788 0.0900 0.2436 Cl
0.3000 0.0603 0.6012 Cl
0.6086 0.8255 0.3810 Cl
0.1000 0.8296 0.0780 Cl
0.6327 0.3084 0.4813 Cl
0.7000 0.0603 0.1012 Cl
0.9212 0.0900 0.7436 Cl
0.1849 0.5220 0.3507 Cl
0.3673 0.3084 0.9813 Cl
0.3914 0.8255 0.8810 Cl
0.8151 0.5220 0.8507 Cl
0.3570 0.5247 0.7056 Cl
0.9000 0.8296 0.5780 Cl
0.0846 0.8883 0.6907 S
0.9154 0.8883 0.1907 S
0.5138 0.5429 0.3559 Al
0.4862 0.5429 0.8559 Al
```

Results
Total DFT energy (no corrections) (eV for the cell shown): -56.23
E_form (uncorrected) (meV/atom): -813



No. 12
DFT (PBE) results for a relaxed Al2SCl crystal.

```
Al2SCl
1.0
-3.4504 -1.3912 2.8747
-4.2158 2.0702 -0.2136
-3.6892 -2.3517 -1.7215
S Cl Al
1 1 2
direct
0.0000 0.0000 0.0000 S
0.5000 0.5000 0.5000 Cl
0.2500 0.2500 0.2500 Al
0.7500 0.7500 0.7500 Al
```

Results
Total DFT energy (no corrections) (eV for the cell shown): -13.82
Excess energy over the best structure of this formula in the dataset (eV/atom): 0.136
E_form (uncorrected) (meV/atom): -91